Model w:
First-principles (GGA-PBE) data for a geometry-optimized CrCuW structure, as listed in the Alexandria database.

## Properties
- Calculated density: 10.52 Mg/m³
- Calculated volume: 47 Å³ per cell
- SG: F-43m
- Spin magnetization: 0.78 Bohr magnetons per cell

Lattice parameters (Å, degrees): 4.0586 4.0586 4.0586 60.00 60.00 60.00
Last column: nearest neighbours and their distance in Å.
Atoms (fractional coordinates):
Cr: 0.7500 0.7500 0.7500  4 W 2.49, 4 Cu 2.49
Cu: 0.0000 0.0000 0.0000  4 Cr 2.49
W: 0.5000 0.5000 0.5000  4 Cr 2.49

---

Model x:
First-principles (GGA-PBE) data for a geometry-optimized CrCuW structure, as listed in the Alexandria database.

## Properties
- Calculated density: 12.26 Mg/m³
- Calculated volume: 41 Å³ per cell
- SG: Imm2
- Spin magnetization: 0.00 Bohr magnetons per cell

Lattice parameters (Å, degrees): 4.6502 4.6502 4.6502 148.54 128.75 61.39
Last column: nearest neighbours and their distance in Å.
Atoms (fractional coordinates):
Cr: 0.0030 0.0030 0.0000  2 Cr 2.52, 5 W 2.64-2.74, 5 Cu 2.70-2.71
Cu: 0.6642 0.6642 0.0000  2 Cu 2.52, 5 W 2.65-2.73, 5 Cr 2.70-2.71
W: 0.3328 0.3328 0.0000  2 W 2.52, 5 Cr 2.64-2.74, 5 Cu 2.65-2.73

---

Most stable to least stable, the ends of the list are model x and model w.

---

Model w:
First-principles (GGA-PBE) data for a geometry-optimized Cr2CuW structure, as listed in the Alexandria database.

## Properties
- Calculated density: 11.35 Mg/m³
- Calculated volume: 51 Å³ per cell
- SG: P4/mmm
- Spin magnetization: 0.00 Bohr magnetons per cell

Lattice parameters (Å, degrees): 3.7666 3.7659 3.6256 90.00 90.00 90.00
Last column: nearest neighbours and their distance in Å.
Atoms (fractional coordinates):
Cr: 0.0000 0.0000 0.0000  4 W 2.61, 4 Cu 2.61, 4 Cr 2.66
Cr: 0.5000 0.5000 0.0000  4 Cu 2.61, 4 W 2.61, 4 Cr 2.66
Cu: 0.5000 0.0000 0.5000  8 Cr 2.61, 4 W 2.66
W: 0.0000 0.5000 0.5000  8 Cr 2.61, 4 Cu 2.66

---

Model x:
First-principles (GGA-PBE) data for a geometry-optimized Cr2CuW structure, as listed in the Alexandria database.

## Properties
- Calculated density: 11.17 Mg/m³
- Calculated volume: 52 Å³ per cell
- SG: Immm
- Spin magnetization: 0.00 Bohr magnetons per cell

Lattice parameters (Å, degrees): 4.8025 4.8025 4.8025 142.09 128.89 65.37
Last column: nearest neighbours and their distance in Å.
Atoms (fractional coordinates):
Cr: 0.0074 0.0074 0.0000  2 W 2.51, 4 Cr 2.60, 2 Cu 2.60
Cr: 0.4926 0.4926 0.0000  2 W 2.51, 4 Cr 2.60, 2 Cu 2.60
Cu: 0.7500 0.2500 0.5000  4 W 2.59, 8 Cr 2.60-2.85
W: 0.2500 0.7500 0.5000  4 Cr 2.51, 4 Cu 2.59

---

Most stable to least stable, the ends of the list are model w and model x.